1.
A plane-wave DFT calculation with PBE-GGA was carried out for Ni2OsW after structural relaxation.

Computed properties:
- Uncorrected energy: -34.7 eV for the cell shown
- Energy relative to the elements: 0.270 eV/atom
- DOS at the Fermi energy: 4.837 states/eV per cell
- Energy relative to the lowest polymorph listed for this composition: 1.21 eV per formula unit

a b c (Å): 4.1913 4.1913 4.1913
angles (deg): 60.00 60.00 60.00
Closest atoms and distances in Å follow each position.
Element x y z (fractional)
Ni 0.7500 0.7500 0.7500  4 Os 2.57, 4 W 2.57
Ni 0.2500 0.2500 0.2500  4 Os 2.57, 4 W 2.57
W 0.0000 0.0000 0.0000  8 Ni 2.57
Os 0.5000 0.5000 0.5000  8 Ni 2.57

---

2.
A plane-wave DFT calculation with PBE-GGA was carried out for Li2CaH8Ir after structural relaxation.

Computed properties:
- Uncorrected energy: -45.3 eV for the cell shown
- DOS at the Fermi energy: 1.327 states/eV per cell

a b c (Å): 3.6805 5.3429 6.3913
angles (deg): 69.08 90.23 89.75
Closest atoms and distances in Å follow each position.
Element x y z (fractional)
H 0.4584 0.0593 0.0532  1 H 1.12
H 0.4981 0.2732 0.4562  2 Li 1.83-1.99
H 0.0261 0.7548 0.8940  1 Ir 1.68
H 0.9739 0.2452 0.1060  1 Ir 1.68
H 0.0018 0.2535 0.7505  1 Ir 1.68
H 0.5019 0.7268 0.5438  2 Li 1.83-1.99
H 0.5416 0.9407 0.9468  1 H 1.12
H 0.9982 0.7465 0.2495  1 Ir 1.68
Ir 0.0000 0.0000 0.0000  6 H 1.68-1.77
Li 0.5008 0.3746 0.7267  4 H 1.83-1.99
Li 0.4992 0.6254 0.2733  4 H 1.83-1.99
Ca 0.0000 0.0000 0.5000  8 H 2.30-2.44

---

3.
A plane-wave DFT calculation with PBE-GGA was carried out for CaLaCd2 after structural relaxation.

Computed properties:
- Uncorrected energy: -9.3 eV for the cell shown
- Energy relative to the elements: -0.145 eV/atom
- DOS at the Fermi energy: 2.865 states/eV per cell
- Energy relative to the lowest polymorph listed for this composition: 0.94 eV per formula unit

a b c (Å): 5.3948 5.3948 5.3948
angles (deg): 60.00 60.00 60.00
Closest atoms and distances in Å follow each position.
Element x y z (fractional)
Ca 0.5000 0.5000 0.5000  4 La 3.30, 4 Cd 3.30
Cd 0.0000 0.0000 0.0000  4 Cd 3.30, 4 La 3.30
Cd 0.2500 0.2500 0.2500  4 Cd 3.30, 4 Ca 3.30
La 0.7500 0.7500 0.7500  4 Cd 3.30, 4 Ca 3.30

---

4.
A plane-wave DFT calculation with PBE-GGA was carried out for Sc3SbC after structural relaxation.

Computed properties:
- Uncorrected energy: -139.5 eV for the cell shown
- Raw formation energy: -507 meV per atom
- DOS at the Fermi energy: 2.104 states/eV per cell

a b c (Å): 4.7445 12.3687 7.4602
angles (deg): 90.00 90.00 90.00
Closest atoms and distances in Å follow each position.
Element x y z (fractional)
Sc 0.0002 0.6262 0.8983  1 C 2.11
Sc 0.0002 0.8738 0.8983  1 C 2.11
Sc 0.4997 0.2500 0.8854  3 C 2.19-2.38
Sc 0.5002 0.6262 0.6017  1 C 2.11
Sc 0.9997 0.2500 0.6146  3 C 2.19-2.38
Sc 0.5002 0.8738 0.6017  1 C 2.11
Sc 0.5003 0.7500 0.1146  3 C 2.19-2.38
Sc 0.4998 0.1262 0.3983  1 C 2.11
Sc 0.0003 0.7500 0.3854  3 C 2.19-2.38
Sc 0.9998 0.1262 0.1017  1 C 2.11
Sc 0.9998 0.3738 0.1017  1 C 2.11
Sc 0.4998 0.3738 0.3983  1 C 2.11
Sb 0.5000 0.5000 0.0000  6 Sc 2.94-3.21
Sb 0.0000 0.0000 0.5000  6 Sc 2.94-3.21
Sb 0.5000 0.0000 0.0000  6 Sc 2.94-3.21
Sb 0.0000 0.5000 0.5000  6 Sc 2.94-3.21
C 0.4997 0.2500 0.5924  3 Sc 2.11-2.19
C 0.0003 0.7500 0.0924  3 Sc 2.11-2.19
C 0.5003 0.7500 0.4076  3 Sc 2.11-2.19
C 0.9997 0.2500 0.9076  3 Sc 2.11-2.19

---

5.
A plane-wave DFT calculation with PBE-GGA was carried out for Nd3Re5O12 after structural relaxation.

Computed properties:
- Uncorrected energy: -660.8 eV for the cell shown
- Raw formation energy: -1458 meV per atom
- DOS at the Fermi energy: 47.261 states/eV per cell

a b c (Å): 11.2169 11.2169 11.2169
angles (deg): 109.47 109.47 109.47
Closest atoms and distances in Å follow each position.
Element x y z (fractional)
Nd 0.3750 0.7500 0.6250  8 O 2.45-2.56
Nd 0.2500 0.6250 0.8750  8 O 2.45-2.56
Nd 0.1250 0.8750 0.7500  8 O 2.45-2.56
Nd 0.1250 0.2500 0.8750  8 O 2.45-2.56
Nd 0.2500 0.1250 0.3750  8 O 2.45-2.56
Nd 0.8750 0.1250 0.2500  8 O 2.45-2.56
Nd 0.6250 0.2500 0.3750  8 O 2.45-2.56
Nd 0.3750 0.6250 0.2500  8 O 2.45-2.56
Nd 0.8750 0.7500 0.1250  8 O 2.45-2.56
Nd 0.7500 0.8750 0.6250  8 O 2.45-2.56
Nd 0.6250 0.3750 0.7500  8 O 2.45-2.56
Nd 0.7500 0.3750 0.1250  8 O 2.45-2.56
Re 0.1250 0.7500 0.3750  4 O 2.00
Re 0.3750 0.2500 0.1250  4 O 2.00
Re 0.1250 0.3750 0.2500  4 O 2.00
Re 0.0000 0.5000 0.0000  6 O 2.06
Re 0.0000 0.0000 0.5000  6 O 2.06
Re 0.7500 0.1250 0.8750  4 O 2.00
Re 0.8750 0.2500 0.6250  4 O 2.00
Re 0.5000 0.0000 0.0000  6 O 2.06
Re 0.2500 0.8750 0.1250  4 O 2.00
Re 0.8750 0.6250 0.7500  4 O 2.00
Re 0.2500 0.3750 0.6250  4 O 2.00
Re 0.5000 0.5000 0.0000  6 O 2.06
Re 0.0000 0.5000 0.5000  6 O 2.06
Re 0.6250 0.8750 0.2500  4 O 2.00
Re 0.5000 0.0000 0.5000  6 O 2.06
Re 0.6250 0.7500 0.8750  4 O 2.00
Re 0.3750 0.1250 0.7500  4 O 2.00
Re 0.0000 0.0000 0.0000  6 O 2.06
Re 0.5000 0.5000 0.5000  6 O 2.06
Re 0.7500 0.6250 0.3750  4 O 2.00
O 0.0918 0.1708 0.4688  2 Re 2.00-2.06
O 0.9210 0.0918 0.6230  2 Re 2.00-2.06
O 0.2020 0.6708 0.0790  2 Re 2.00-2.06
O 0.9688 0.5918 0.1708  2 Re 2.00-2.06
O 0.5918 0.9688 0.6708  2 Re 2.00-2.06
O 0.2980 0.4210 0.8292  2 Re 2.00-2.06
O 0.0790 0.1708 0.2020  2 Re 2.00-2.06
O 0.5790 0.7020 0.6708  2 Re 2.00-2.06
O 0.0312 0.4082 0.8292  2 Re 2.00-2.06
O 0.7020 0.1230 0.0312  2 Re 2.00-2.06
O 0.3770 0.4082 0.0790  2 Re 2.00-2.06
O 0.9082 0.0790 0.8770  2 Re 2.00-2.06
O 0.5312 0.2020 0.1230  2 Re 2.00-2.06
O 0.3292 0.5312 0.4082  2 Re 2.00-2.06
O 0.6708 0.4688 0.5918  2 Re 2.00-2.06
O 0.6230 0.0312 0.2020  2 Re 2.00-2.06
O 0.2020 0.5312 0.6230  2 Re 2.00-2.06
O 0.2980 0.8770 0.9688  2 Re 2.00-2.06
O 0.1708 0.0918 0.9688  2 Re 2.00-2.06
O 0.5312 0.3292 0.9082  2 Re 2.00-2.06
O 0.4688 0.6708 0.0918  2 Re 2.00-2.06
O 0.9082 0.8292 0.5312  2 Re 2.00-2.06
O 0.7980 0.3292 0.9210  2 Re 2.00-2.06
O 0.0312 0.6230 0.7020  2 Re 2.00-2.06
O 0.3770 0.9688 0.7980  2 Re 2.00-2.06
O 0.1230 0.7020 0.5312  2 Re 2.00-2.06
O 0.5790 0.8770 0.4082  2 Re 2.00-2.06
O 0.8770 0.5790 0.9082  2 Re 2.00-2.06
O 0.0790 0.9082 0.3770  2 Re 2.00-2.06
O 0.9688 0.3770 0.2980  2 Re 2.00-2.06
O 0.4210 0.1230 0.5918  2 Re 2.00-2.06
O 0.7020 0.5790 0.1708  2 Re 2.00-2.06
O 0.4688 0.7980 0.8770  2 Re 2.00-2.06
O 0.8292 0.9082 0.0312  2 Re 2.00-2.06
O 0.1230 0.4210 0.0918  2 Re 2.00-2.06
O 0.3292 0.7980 0.4210  2 Re 2.00-2.06
O 0.8770 0.2980 0.4688  2 Re 2.00-2.06
O 0.4082 0.3770 0.5790  2 Re 2.00-2.06
O 0.5918 0.6230 0.4210  2 Re 2.00-2.06
O 0.1708 0.0790 0.7020  2 Re 2.00-2.06
O 0.6230 0.5918 0.9210  2 Re 2.00-2.06
O 0.6708 0.2020 0.5790  2 Re 2.00-2.06
O 0.7980 0.4688 0.3770  2 Re 2.00-2.06
O 0.0918 0.9210 0.1230  2 Re 2.00-2.06
O 0.4210 0.2980 0.3292  2 Re 2.00-2.06
O 0.8292 0.9210 0.2980  2 Re 2.00-2.06
O 0.9210 0.8292 0.7980  2 Re 2.00-2.06
O 0.4082 0.0312 0.3292  2 Re 2.00-2.06

---

6.
A plane-wave DFT calculation with PBE-GGA was carried out for TbNd6Th3 after structural relaxation.

Computed properties:
- Uncorrected energy: -108.5 eV for the cell shown
- Energy relative to the elements: 0.124 eV/atom
- DOS at the Fermi energy: 28.959 states/eV per cell

a b c (Å): 3.5337 17.8789 11.3515
angles (deg): 72.61 90.00 90.00
Closest atoms and distances in Å follow each position.
Element x y z (fractional)
Th 0.7500 0.1605 0.0449  7 Nd 3.36-3.70, 2 Th 3.53, 2 Tb 3.63
Th 0.2500 0.8395 0.9551  7 Nd 3.36-3.70, 2 Th 3.53, 2 Tb 3.63
Th 0.7500 0.4533 0.6462  4 Nd 3.34-3.61, 4 Th 3.53-3.69, 2 Tb 3.69
Th 0.2500 0.1417 0.5654  9 Nd 3.49-3.68, 2 Th 3.53
Th 0.2500 0.5467 0.3538  4 Nd 3.34-3.61, 4 Th 3.53-3.69, 2 Tb 3.69
Th 0.7500 0.8583 0.4346  9 Nd 3.49-3.68, 2 Th 3.53
Tb 0.2500 0.3454 0.9316  4 Nd 3.45-3.67, 2 Tb 3.53, 4 Th 3.63-3.69
Tb 0.7500 0.6546 0.0684  4 Nd 3.45-3.67, 2 Tb 3.53, 4 Th 3.63-3.69
Nd 0.7500 0.6485 0.5376  4 Th 3.34-3.61, 5 Nd 3.52-3.60
Nd 0.2500 0.9379 0.6381  4 Th 3.49-3.53, 8 Nd 3.53-3.71
Nd 0.2500 0.9702 0.1531  7 Nd 3.53-3.76, 5 Th 3.68-3.70
Nd 0.7500 0.2454 0.7381  4 Th 3.36-3.55, 5 Nd 3.53-3.68, 2 Tb 3.67
Nd 0.7500 0.0298 0.8469  7 Nd 3.53-3.76, 5 Th 3.68-3.70
Nd 0.2500 0.7546 0.2619  4 Th 3.36-3.55, 5 Nd 3.53-3.68, 2 Tb 3.67
Nd 0.2500 0.2479 0.2434  1 Tb 3.45, 7 Nd 3.52-3.83, 3 Th 3.57-3.58
Nd 0.7500 0.7521 0.7566  1 Tb 3.45, 7 Nd 3.52-3.83, 3 Th 3.57-3.58
Nd 0.2500 0.3515 0.4624  4 Th 3.34-3.61, 5 Nd 3.52-3.60
Nd 0.7500 0.0621 0.3619  4 Th 3.49-3.53, 8 Nd 3.53-3.71
Nd 0.7500 0.4471 0.1483  8 Nd 3.53-3.89, 3 Tb 3.55-3.89, 2 Th 3.77
Nd 0.2500 0.5529 0.8517  8 Nd 3.53-3.89, 3 Tb 3.55-3.89, 2 Th 3.77

---

7.
A plane-wave DFT calculation with PBE-GGA was carried out for Hg2IrPbCl after structural relaxation.

Computed properties:
- Uncorrected energy: -10.9 eV for the cell shown
- Raw formation energy: 818 meV per atom
- DOS at the Fermi energy: 1.618 states/eV per cell

a b c (Å): 5.8786 5.2256 5.8786
angles (deg): 90.00 90.00 90.00
Closest atoms and distances in Å follow each position.
Element x y z (fractional)
Cl 0.5000 0.5000 0.5000  8 Hg 3.93, 4 Ir 4.16
Ir 0.0000 0.5000 0.0000  2 Pb 2.61
Pb 0.0000 0.0000 0.0000  2 Ir 2.61
Hg 0.0000 0.0000 0.5000  2 Pb 2.94
Hg 0.5000 0.0000 0.0000  2 Pb 2.94

---

8.
A plane-wave DFT calculation with PBE-GGA was carried out for SiBi2Au6 after structural relaxation.

Computed properties:
- Uncorrected energy: -32.5 eV for the cell shown
- Raw formation energy: 33 meV per atom
- DOS at the Fermi energy: 4.885 states/eV per cell

a b c (Å): 6.4424 6.4424 6.4388
angles (deg): 60.00 60.00 60.03
Closest atoms and distances in Å follow each position.
Element x y z (fractional)
Au 0.7717 0.2289 0.2286  1 Si 2.47
Au 0.2286 0.2286 0.7707  1 Si 2.47
Au 0.7711 0.2283 0.7714  1 Si 2.47
Au 0.2283 0.7711 0.7714  1 Si 2.47
Au 0.2289 0.7717 0.2286  1 Si 2.47
Au 0.7714 0.7714 0.2293  1 Si 2.47
Bi 0.7499 0.7499 0.7504  12 Au 3.22-3.23
Bi 0.2501 0.2501 0.2496  12 Au 3.22-3.23
Si 0.5000 0.5000 0.5000  6 Au 2.47

---

Q: What is the DOS at the Fermi energy in the sixth record?
A: 28.959 states/eV per cell

---

Q: Among the records above, which one has the highest DOS at the Fermi energy?
A: Nd3Re5O12